P:
First-principles (PBE) data for crystalline CePmZr2 at its relaxed geometry, as listed in Alexandria via LeMat-Bulk.

Calculated values
Size of the total moment, μB/f.u.: 0.00

a b c (Å): 3.9197 3.9197 7.0348
angles (deg): 90.00 90.00 90.00
Fractional coordinates of all 4 atoms:
Zr 0.0000 0.0000 0.2114
Zr 0.0000 0.0000 0.7886
Ce 0.5000 0.5000 0.0000
Pm 0.5000 0.5000 0.5000


Q:
First-principles (PBE) data for crystalline CePmZr2 at its relaxed geometry, as listed in Alexandria via LeMat-Bulk.

Calculated values
Size of the total moment, μB/f.u.: 0.00

a b c (Å): 3.2927 3.2927 11.7619
angles (deg): 81.95 81.95 60.00
Fractional coordinates of all 4 atoms:
Zr 0.9091 0.9091 0.2728
Zr 0.0909 0.0909 0.7272
Pm 0.0000 0.0000 0.0000
Ce 0.5000 0.5000 0.5000


Relative energies, in meV per atom, with the most stable structure set to zero: P 0; Q 123.


P:
First-principles (PBE) data for crystalline CePmZr at its relaxed geometry, as listed in Alexandria via LeMat-Bulk.

Calculated values
Size of the total moment, μB/f.u.: 0.00

a b c (Å): 3.3329 5.4446 5.4446
angles (deg): 120.00 90.00 90.00
Fractional coordinates of all 3 atoms:
Ce 0.6666 0.6667 0.3333
Pm 0.1670 0.0000 0.0000
Zr 0.1664 0.3333 0.6667


Q:
First-principles (PBE) data for crystalline CePmZr at its relaxed geometry, as listed in Alexandria via LeMat-Bulk.

Calculated values
Size of the total moment, μB/f.u.: 0.47

a b c (Å): 3.3388 3.3388 7.9380
angles (deg): 102.14 102.14 90.00
Fractional coordinates of all 3 atoms:
Pm 0.9939 0.9939 0.9878
Ce 0.6754 0.6754 0.3509
Zr 0.3307 0.3307 0.6613


R:
First-principles (PBE) data for crystalline CePmZr at its relaxed geometry, as listed in Alexandria via LeMat-Bulk.

Calculated values
Size of the total moment, μB/f.u.: 0.33

a b c (Å): 3.3736 3.3736 14.8411
angles (deg): 90.00 90.00 90.00
Fractional coordinates of all 6 atoms:
Pm 0.0000 0.5000 0.5946
Pm 0.5000 0.0000 0.4054
Zr 0.0000 0.5000 0.9282
Zr 0.5000 0.0000 0.0718
Ce 0.0000 0.5000 0.2288
Ce 0.5000 0.0000 0.7712


Relative energies, in meV per atom, with the most stable structure set to zero: P 86; Q 27; R 0.


P:
First-principles (PBE) data for crystalline CePr2 at its relaxed geometry, as listed in Alexandria via LeMat-Bulk.

Calculated values
Size of the total moment, μB/f.u.: 1.48

a b c (Å): 6.7096 6.7096 6.7096
angles (deg): 60.00 60.00 60.00
Fractional coordinates of all 6 atoms:
Pr 0.6250 0.6250 0.1250
Pr 0.6250 0.1250 0.6250
Pr 0.1250 0.6250 0.6250
Pr 0.6250 0.6250 0.6250
Ce 0.2500 0.2500 0.2500
Ce 0.0000 0.0000 0.0000


Q:
First-principles (PBE) data for crystalline CePr2 at its relaxed geometry, as listed in Alexandria via LeMat-Bulk.

Calculated values
Size of the total moment, μB/f.u.: 1.19

a b c (Å): 6.2933 3.6150 6.3307
angles (deg): 73.39 60.15 54.92
Fractional coordinates of all 3 atoms:
Pr 0.9447 0.0253 0.2262
Pr 0.6184 0.0256 0.8798
Ce 0.2815 0.0255 0.5529


R:
First-principles (PBE) data for crystalline CePr2 at its relaxed geometry, as listed in Alexandria via LeMat-Bulk.

Calculated values
Size of the total moment, μB/f.u.: 0.18

a b c (Å): 3.5965 3.5965 8.1206
angles (deg): 102.79 102.79 90.00
Fractional coordinates of all 3 atoms:
Ce 0.0000 0.0000 0.0000
Pr 0.6569 0.6569 0.3138
Pr 0.3431 0.3431 0.6862


Relative energies, in meV per atom, with the most stable structure set to zero: P 295; Q 31; R 0.


P:
First-principles (PBE) data for crystalline Ce2Pr at its relaxed geometry, as listed in Alexandria via LeMat-Bulk.

Calculated values
Size of the total moment, μB/f.u.: 2.35

a b c (Å): 6.3987 6.3987 6.3987
angles (deg): 60.00 60.00 60.00
Fractional coordinates of all 6 atoms:
Ce 0.6250 0.6250 0.1250
Ce 0.6250 0.1250 0.6250
Ce 0.1250 0.6250 0.6250
Ce 0.6250 0.6250 0.6250
Pr 0.0000 0.0000 0.0000
Pr 0.2500 0.2500 0.2500


Q:
First-principles (PBE) data for crystalline Ce2Pr at its relaxed geometry, as listed in Alexandria via LeMat-Bulk.

Calculated values
Size of the total moment, μB/f.u.: 0.00

a b c (Å): 3.4559 3.4559 7.8915
angles (deg): 102.65 102.65 90.00
Fractional coordinates of all 3 atoms:
Ce 0.6748 0.6748 0.3496
Ce 0.3252 0.3252 0.6504
Pr 0.0000 0.0000 0.0000


Relative energies, in meV per atom, with the most stable structure set to zero: P 110; Q 0.


P:
First-principles (PBE) data for crystalline Ce2PrPt at its relaxed geometry, as listed in Alexandria via LeMat-Bulk.

Calculated values
Size of the total moment, μB/f.u.: 1.32

a b c (Å): 3.8949 3.8949 9.6059
angles (deg): 78.30 78.30 60.00
Fractional coordinates of all 4 atoms:
Ce 0.2699 0.2699 0.1904
Ce 0.0638 0.0638 0.8085
Pt 0.6670 0.6670 0.9991
Pr 0.4993 0.4993 0.5020


Q:
First-principles (PBE) data for crystalline Ce2PrPt at its relaxed geometry, as listed in Alexandria via LeMat-Bulk.

Calculated values
Size of the total moment, μB/f.u.: 0.88

a b c (Å): 3.7321 3.7321 7.9334
angles (deg): 90.00 90.00 90.00
Fractional coordinates of all 4 atoms:
Pr 0.5000 0.5000 0.5000
Pt 0.5000 0.5000 0.0000
Ce 0.0000 0.0000 0.1899
Ce 0.0000 0.0000 0.8101


Relative energies, in meV per atom, with the most stable structure set to zero: P 53; Q 0.


P:
First-principles (PBE) data for crystalline Ce2PrPt at its relaxed geometry, as listed in Alexandria via LeMat-Bulk.

Calculated values
Size of the total moment, μB/f.u.: 1.17

a b c (Å): 6.1662 10.1249 14.3703
angles (deg): 90.00 90.00 90.00
Fractional coordinates of all 32 atoms:
Ce 0.2501 0.0500 0.4647
Ce 0.2499 0.4500 0.9647
Ce 0.9369 0.5541 0.7870
Ce 0.7501 0.9500 0.0353
Ce 0.5631 0.5541 0.2870
Ce 0.2499 0.0500 0.9647
Ce 0.7499 0.9500 0.5353
Ce 0.2501 0.4500 0.4647
Ce 0.4369 0.4459 0.7130
Ce 0.7499 0.5500 0.5353
Ce 0.0631 0.0541 0.2130
Ce 0.5631 0.9459 0.2870
Ce 0.7501 0.5500 0.0353
Ce 0.9369 0.9459 0.7870
Ce 0.4369 0.0541 0.7130
Ce 0.0631 0.4459 0.2130
Pt 0.7781 0.7500 0.1765
Pt 0.0247 0.2500 0.0697
Pt 0.9753 0.7500 0.9303
Pt 0.2219 0.2500 0.8235
Pt 0.2781 0.2500 0.3235
Pt 0.4753 0.2500 0.5697
Pt 0.5247 0.7500 0.4303
Pt 0.7219 0.7500 0.6765
Pr 0.9517 0.2500 0.6406
Pr 0.2345 0.7500 0.6058
Pr 0.5483 0.2500 0.1406
Pr 0.0483 0.7500 0.3594
Pr 0.2655 0.7500 0.1058
Pr 0.4517 0.7500 0.8594
Pr 0.7655 0.2500 0.3942
Pr 0.7345 0.2500 0.8942


Q:
First-principles (PBE) data for crystalline Ce2PrPt at its relaxed geometry, as listed in Alexandria via LeMat-Bulk.

Calculated values
Size of the total moment, μB/f.u.: 2.33

a b c (Å): 3.7620 3.7620 10.4971
angles (deg): 79.68 79.68 60.00
Fractional coordinates of all 4 atoms:
Ce 0.1061 0.1061 0.6816
Ce 0.8939 0.8939 0.3184
Pr 0.0000 0.0000 0.0000
Pt 0.5000 0.5000 0.5000


Relative energies, in meV per atom, with the most stable structure set to zero: P 0; Q 304.


P:
First-principles (PBE) data for crystalline Ce2PrPt2 at its relaxed geometry, as listed in Alexandria via LeMat-Bulk.

Calculated values
Size of the total moment, μB/f.u.: 0.00

a b c (Å): 4.3181 4.3181 7.2633
angles (deg): 105.17 105.17 90.83
Fractional coordinates of all 5 atoms:
Pt 0.4083 0.4083 0.8038
Pt 0.5917 0.5917 0.1962
Ce 0.7704 0.2296 0.5000
Ce 0.2296 0.7704 0.5000
Pr 0.0000 0.0000 0.0000


Q:
First-principles (PBE) data for crystalline Ce2PrPt2 at its relaxed geometry, as listed in Alexandria via LeMat-Bulk.

Calculated values
Size of the total moment, μB/f.u.: 1.41

a b c (Å): 3.8611 8.0918 8.0918
angles (deg): 90.00 90.00 90.00
Fractional coordinates of all 10 atoms:
Ce 0.0000 0.8357 0.8357
Ce 0.0000 0.1643 0.1643
Ce 0.0000 0.6643 0.3357
Ce 0.0000 0.3357 0.6643
Pt 0.5000 0.1315 0.8685
Pt 0.5000 0.8685 0.1315
Pt 0.5000 0.6315 0.6315
Pt 0.5000 0.3685 0.3685
Pr 0.5000 0.0000 0.5000
Pr 0.5000 0.5000 0.0000


Relative energies, in meV per atom, with the most stable structure set to zero: P 140; Q 0.


P:
First-principles (PBE) data for crystalline Ce2PrPu at its relaxed geometry, as listed in Alexandria via LeMat-Bulk.

Calculated values
Size of the total moment, μB/f.u.: 4.84

a b c (Å): 3.4097 3.4097 9.8062
angles (deg): 90.00 90.00 90.00
Fractional coordinates of all 4 atoms:
Pr 0.5000 0.5000 0.5000
Ce 0.0000 0.0000 0.2204
Ce 0.0000 0.0000 0.7796
Pu 0.5000 0.5000 0.0000


Q:
First-principles (PBE) data for crystalline Ce2PrPu at its relaxed geometry, as listed in Alexandria via LeMat-Bulk.

Calculated values
Size of the total moment, μB/f.u.: 0.10

a b c (Å): 3.6574 3.6574 9.7324
angles (deg): 79.17 79.17 60.00
Fractional coordinates of all 4 atoms:
Ce 0.2218 0.2218 0.3345
Ce 0.1137 0.1137 0.6590
Pr 0.6628 0.6628 0.0116
Pu 0.5017 0.5017 0.4950


Relative energies, in meV per atom, with the most stable structure set to zero: P 0; Q 216.